[1]
# ScCuOs4

A relaxed ScCuOs4 crystal (PBE, Alexandria via LeMat-Bulk).

```
6
Lattice="0.000 3.656 3.656 3.656 0.000 3.656 3.656 3.656 0.000" Properties=species:S:1:pos:R:3 pbc="T T T"
Sc 5.484 5.484 5.484
Os 2.740 2.740 2.740
Os 2.740 4.572 4.572
Cu 0.000 0.000 0.000
Os 4.572 4.572 2.740
Os 4.572 2.740 4.572
```

Calculated values
E (eV per atom): -8.970
Symmetry: F-43m (216)
Energy relative to the elements (meV/atom): 254.0

[2]
# CrInSn2Mo

A relaxed CrInSn2Mo crystal (PBE, Alexandria via LeMat-Bulk).

```
5
Lattice="-1.210 1.539 -5.139 -0.792 -4.887 -1.277 -5.297 0.494 1.395" Properties=species:S:1:pos:R:3 pbc="T T T"
Sn -2.648 0.247 0.698
Sn -0.605 0.769 -2.570
Cr -0.396 -2.444 -0.638
In 0.000 0.000 0.000
Mo -3.650 -1.427 -2.510
```

Calculated values
E (eV per atom): -4.645
Symmetry: P4/mmm (123)
Energy relative to the elements (meV/atom): 1594.9

[3]
# ErZr2Co

A relaxed ErZr2Co crystal (PBE, Alexandria via LeMat-Bulk).

```
4
Lattice="4.066 0.000 0.000 2.033 3.522 0.000 2.033 1.174 6.426" Properties=species:S:1:pos:R:3 pbc="T T T"
Er 4.066 2.348 3.272
Co 6.100 3.522 6.347
Zr 2.033 1.174 5.411
Zr 2.033 1.174 1.034
```

Calculated values
E (eV per atom): -7.140
Symmetry: R3m (160)
Energy relative to the elements (meV/atom): 50.9

[4]
# Nd6SmTh

A relaxed Nd6SmTh crystal (PBE, Alexandria via LeMat-Bulk).

```
8
Lattice="5.172 0.000 0.000 0.000 5.172 0.000 0.000 0.000 10.353" Properties=species:S:1:pos:R:3 pbc="T T T"
Nd 2.586 0.000 2.628
Sm 0.000 0.000 0.000
Th 0.000 0.000 5.176
Nd 0.000 2.586 7.725
Nd 2.586 2.586 5.176
Nd 2.586 2.586 0.000
Nd 0.000 2.586 2.628
Nd 2.586 0.000 7.725
```

Calculated values
E (eV per atom): -5.058
Symmetry: P4/mmm (123)
Energy relative to the elements (meV/atom): 35.2

Question: Look up the E of the first one.
Answer: -8.970 eV per atom